# PBE with a Hubbard U Fe4O3F5, relaxed
# E above lowest polymorph (meV/atom): 21
# Calculated density (g cm⁻³): 4.256
data_Fe4O3F5
_symmetry_space_group_name_H-M 'P m m n'
_symmetry_Int_Tables_number 59
_cell_length_a 6.2108
_cell_length_b 7.0177
_cell_length_c 6.5590
_cell_angle_alpha 90.00
_cell_angle_beta 90.00
_cell_angle_gamma 90.00
loop_
_symmetry_equiv_pos_as_xyz
'x,y,z'
'-x,-y,-z'
'-x+1/2,-y+1/2,z'
'x+1/2,y+1/2,-z'
'x+1/2,-y,-z'
'-x+1/2,y,z'
'-x,y+1/2,-z'
'x,-y+1/2,z'
loop_
_atom_site_label
_atom_site_type_symbol
_atom_site_fract_x
_atom_site_fract_y
_atom_site_fract_z
Fe1 Fe 0.0188 0.2500 0.2390
Fe2 Fe 0.2500 0.2500 0.7384
Fe3 Fe 0.2500 0.7500 0.2205
O1 O 0.2500 0.2500 0.0436
O2 O 0.2500 0.2500 0.4364
O3 O 0.2500 0.7500 0.9320
F1 F 0.0192 0.5517 0.2519
F2 F 0.2500 0.7500 0.5405